# 1
LiAl2P at its PBEsol-relaxed geometry, computed with SCAN.

Values from the calculation:
Energy relative to the elements ... -0.2642 eV per atom
Uncorrected energy ... -29.349 eV per cell
Magnetization ... 0.000 μB per atom

abc: 4.7185 4.7185 4.8295
angles: 102.12 102.12 44.55
With the nearest neighbours (Å) after each atom.
Fractional coordinates of all 4 atoms:
Li1 0.0000 0.0000 0.0000  3 P 2.54-2.62
Al1 0.3364 0.3364 0.3941  2 P 2.39, 1 Al 2.59
Al2 0.6394 0.6394 0.5686  2 P 2.45-2.59, 1 Al 2.59
P1 0.7244 0.7244 0.0874  4 Al 2.39-2.59, 3 Li 2.54-2.62

=====

# 2
LiAl2P at its PBEsol-relaxed geometry, computed with SCAN.

Values from the calculation:
Energy relative to the elements ... -0.0602 eV per atom
Uncorrected energy ... -28.533 eV per cell
Magnetization ... 0.000 μB per atom

abc: 3.3713 3.3713 5.2637
angles: 90.00 90.00 90.00
With the nearest neighbours (Å) after each atom.
Fractional coordinates of all 4 atoms:
Li1 0.0000 0.0000 0.0000  2 P 2.63, 8 Al 2.75
Al1 0.5000 0.5000 0.2589  2 Al 2.54-2.73, 4 P 2.70, 4 Li 2.75
Al2 0.5000 0.5000 0.7411  2 Al 2.54-2.73, 4 P 2.70, 4 Li 2.75
P1 0.0000 0.0000 0.5000  2 Li 2.63, 8 Al 2.70

=====

# 3
Li2AlP at its PBEsol-relaxed geometry, computed with SCAN.

Values from the calculation:
Energy relative to the elements ... -0.2809 eV per atom
Uncorrected energy ... -24.054 eV per cell
Magnetization ... 0.001 μB per atom

abc: 4.7704 4.7704 4.7704
angles: 133.20 133.20 68.35
With the nearest neighbours (Å) after each atom.
Fractional coordinates of all 4 atoms:
Li1 0.0000 0.0000 0.0000  4 P 2.68, 4 Li 2.74, 4 Al 2.74
Li2 0.7500 0.2500 0.5000  4 Al 2.68, 4 Li 2.74, 4 P 2.74
Al1 0.2500 0.7500 0.5000  8 Li 2.68-2.74, 4 P 2.74
P1 0.5000 0.5000 0.0000  8 Li 2.68-2.74, 4 Al 2.74